The following is a GGA-PBE calculation of a relaxed NdDyZr2 crystal, from Alexandria.

a b c (Å): 4.7442 4.7442 4.8509
angles (deg): 90.00 90.00 90.00
Closest atoms and distances in Å follow each position.
Space group P4/mmm (No. 123)
One atom of each set of equivalent atoms:
Nd 0.0000 0.0000 0.0000 (multiplicity 1)  4 Dy 3.35, 8 Zr 3.39
Dy 0.5000 0.5000 0.0000 (multiplicity 1)  4 Nd 3.35, 8 Zr 3.39
Zr 0.0000 0.5000 0.5000 (multiplicity 2)  4 Zr 3.35, 4 Dy 3.39, 4 Nd 3.39

Results
E_form in meV/atom: 165
Total DFT energy (no corrections) in eV for the cell shown: -25.8
DOS at the Fermi energy in states/eV per atom: 1.1981